The following is a PBE-GGA calculation of Er2MgSi2 after structural relaxation, from Alexandria via LeMat-Bulk.

Lattice parameters (Å, degrees): 4.174 7.116 7.116 90.00 90.00 90.00
Element x y z (fractional)
Si (0.000, 0.619, 0.119)
Si (0.000, 0.119, 0.381)
Si (0.000, 0.881, 0.619)
Si (0.000, 0.381, 0.881)
Mg (0.000, 0.000, 0.000)
Mg (0.000, 0.500, 0.500)
Er (0.500, 0.322, 0.178)
Er (0.500, 0.822, 0.322)
Er (0.500, 0.178, 0.678)
Er (0.500, 0.678, 0.822)

Computed properties:
Symmetry: No. 127
E_form (uncorrected), eV per formula unit: -3.548
Raw total energy, eV for the cell shown: -50.2